Entry 1:
Below is a relaxed ReTc2Ag crystal, with properties calculated at the PBE level.

a b c (Å): 2.745 2.745 8.198
angles (deg): 90.00 90.00 90.00
Element x y z (fractional)
Re  0.000  0.000  0.000
Tc  0.000  0.000  0.460
Tc  0.500  0.500  0.231
Ag  0.500  0.500  0.730

The value obtained for the calculated total energy is -34.6 eV per cell. As for the relative energy among the computed polymorphs: 133.6 meV/atom. The formation energy is 35.1 kJ/mol of atoms. As for the crystal system: tetragonal. The magnetization comes out at 0.000 μB/f.u.

***

Entry 2:
Below is a relaxed Re3TcAg crystal, with properties calculated at the PBE level.

a b c (Å): 4.681 4.681 4.681
angles (deg): 90.00 90.00 90.00
Element x y z (fractional)
Re  0.000  0.000  0.500
Re  0.000  0.500  0.000
Re  0.500  0.000  0.000
Tc  0.000  0.000  0.000
Ag  0.500  0.500  0.500

The value obtained for the calculated total energy is -39.8 eV per cell. As for the relative energy among the computed polymorphs: 0.0 meV/atom. The formation energy is 208.1 kJ/mol of atoms. As for the crystal system: cubic. The magnetization comes out at 1.727 μB/f.u.

***

> Number 2 is which compound?

Re3TcAg

***

> Among the records above, which one has the lowest magnetization?

ReTc2Ag

***

> What is the formula in the second record?

Re3TcAg